No. 1
NdErAs2Pd5: relaxed, GGA-PBE.

Geometry as POSCAR:
```
NdErAs2Pd5
1.0
4.265 0.000 0.000
0.000 4.265 0.000
0.000 0.000 9.292
Nd Er As Pd
1 1 2 5
Cartesian
0.000 0.000 0.000 Nd
0.000 0.000 4.646 Er
2.132 2.132 3.390 As
2.132 2.132 5.902 As
0.000 2.132 2.131 Pd
0.000 2.132 7.161 Pd
2.132 0.000 2.131 Pd
2.132 0.000 7.161 Pd
2.132 2.132 0.000 Pd
```

Results
Formation energy in eV/atom: -0.774
E in eV per cell: -51.56

No. 2
LiCr3Se: relaxed, GGA-PBE.

Geometry as POSCAR:
```
LiCr3Se
1.0
4.269 0.000 0.000
0.000 4.269 0.000
0.000 0.000 4.269
Li Cr Se
1 3 1
Cartesian
0.000 0.000 0.000 Li
0.000 0.000 2.134 Cr
0.000 2.134 0.000 Cr
2.134 0.000 0.000 Cr
2.134 2.134 2.134 Se
```

Results
Energy above the most stable polymorph in this dataset in eV/atom: 0.491
E in eV per cell: -27.87
ΔE_f (raw) in eV per atom: 1.28

No. 3
Rb2NdMgBr6: relaxed, GGA-PBE.

Geometry as POSCAR:
```
Rb2NdMgBr6
1.0
-3.987 3.999 5.645
3.987 -3.999 5.645
3.987 3.999 -5.645
Rb Nd Mg Br
2 1 1 6
Cartesian
0.000 0.000 2.822 Rb
0.000 0.000 8.468 Rb
0.000 3.999 0.000 Nd
3.987 0.000 0.000 Mg
2.081 1.909 0.000 Br
3.987 0.000 2.695 Br
5.893 1.909 0.000 Br
-1.906 2.090 5.645 Br
0.000 3.999 2.950 Br
1.906 2.090 5.645 Br
```

Results
E in eV per cell: -33.80
ΔE_f (raw) in eV per atom: -1.55

No. 4
PrScGa4: relaxed, GGA-PBE.

Geometry as POSCAR:
```
PrScGa4
1.0
8.120 0.000 0.000
0.000 15.508 0.000
0.000 0.000 4.125
Pr Sc Ga
4 4 16
Cartesian
1.056 2.270 0.000 Pr
3.004 10.024 0.000 Pr
5.115 5.484 0.000 Pr
7.064 13.237 0.000 Pr
1.042 6.468 0.000 Sc
3.018 14.222 0.000 Sc
5.101 1.285 0.000 Sc
7.078 9.039 0.000 Sc
0.074 10.851 2.062 Ga
0.960 8.565 2.062 Ga
1.055 14.992 2.062 Ga
1.665 12.610 2.062 Ga
2.395 4.857 2.062 Ga
3.005 7.238 2.062 Ga
3.100 0.811 2.062 Ga
3.986 3.097 2.062 Ga
4.134 12.410 2.062 Ga
5.020 14.696 2.062 Ga
5.115 8.269 2.062 Ga
5.725 10.651 2.062 Ga
6.455 2.897 2.062 Ga
7.065 0.516 2.062 Ga
7.160 6.942 2.062 Ga
8.045 4.657 2.062 Ga
```

Results
Energy above the most stable polymorph in this dataset in eV/atom: 0.038
Formation energy in eV/atom: -0.521
E in eV per cell: -105.37

For the records above, the corresponding magnetic moment values read 0.000 8.825 0.955 0.000 μB/f.u..